# 1
CoPdCl3: optimized geometry, GGA-PBE.

Results
ΔE to the lowest computed polymorph in meV per atom: 0
Formation energy (no corrections) in eV/atom: 0.096

Cell: 4.6795 4.6795 4.6795 Å, 90.00 90.00 90.00°
Space group Pm-3m (No. 221)
Asymmetric unit:
Co1 0.0000 0.0000 0.0000 [1 per cell]
Pd1 0.5000 0.5000 0.5000 [1 per cell]
Cl1 0.0000 0.0000 0.5000 [3 per cell]


# 2
Cu2GeO2: optimized geometry, GGA-PBE.

Results
ΔE to the lowest computed polymorph in meV per atom: 99
Formation energy (no corrections) in eV/atom: -0.160

Cell: 6.0717 6.0717 3.0600 Å, 90.00 90.00 90.00°
Space group P4/mbm (No. 127)
Asymmetric unit:
Cu1 0.1432 0.3568 0.0000 [4 per cell]
Ge1 0.0000 0.0000 0.5000 [2 per cell]
O1 0.1808 0.6808 0.5000 [4 per cell]


# 3
DyTl2BiS4: optimized geometry, GGA-PBE.

Results
Formation energy (no corrections) in eV/atom: -0.954

Cell: 7.1113 4.0840 7.8372 Å, 90.00 107.45 90.00°
Space group P2/m (No. 10)
Asymmetric unit:
Dy1 0.0000 0.0000 0.0000 [1 per cell]
Tl1 0.0000 0.5000 0.5000 [1 per cell]
Tl2 0.5000 0.0000 0.5000 [1 per cell]
Bi1 0.5000 0.5000 0.0000 [1 per cell]
S1 0.2259 0.5000 0.2002 [2 per cell]
S2 0.2565 0.0000 0.7943 [2 per cell]


# 4
ZrIn3Rh: optimized geometry, GGA-PBE.

Results
ΔE to the lowest computed polymorph in meV per atom: 934
Energy relative to the elements in eV per atom: 1.18

Cell: 5.4594 5.4594 5.4594 Å, 90.00 90.00 90.00°
Space group Pm-3m (No. 221)
Asymmetric unit:
Zr1 0.0000 0.0000 0.0000 [1 per cell]
In1 0.0000 0.0000 0.5000 [3 per cell]
Rh1 0.5000 0.5000 0.5000 [1 per cell]


# 5
InTc2Sn4: optimized geometry, GGA-PBE.

Results
Energy relative to the elements in eV per atom: 0.15

Cell: 4.5182 4.5182 28.5967 Å, 90.00 90.00 120.00°
Space group R-3m (No. 166, hexagonal axes)
Asymmetric unit:
In1 0.0000 0.0000 0.0000 [3 per cell]
Tc1 0.0000 0.0000 0.0941 [6 per cell]
Sn1 0.0000 0.0000 0.1954 [6 per cell]
Sn2 0.0000 0.0000 0.4042 [6 per cell]


# 6
AcPrHoZn: optimized geometry, GGA-PBE.

Results
ΔE to the lowest computed polymorph in meV per atom: 0
Energy relative to the elements in eV per atom: -0.12

Cell: 3.7188 3.7188 9.0359 Å, 90.00 90.00 90.00°
Space group P4mm (No. 99)
Asymmetric unit:
Ac1 0.0000 0.0000 0.0000 [1 per cell]
Pr1 0.5000 0.5000 0.6856 [1 per cell]
Ho1 0.5000 0.5000 0.2968 [1 per cell]
Zn1 0.0000 0.0000 0.4726 [1 per cell]


# 7
Sc2CuHAu: optimized geometry, GGA-PBE.

Results
E_tot in eV/atom: -5.18

Cell: 4.5940 4.5940 3.5877 Å, 90.00 90.00 90.00°
Space group P4/mmm (No. 123)
Asymmetric unit:
Sc1 0.0000 0.5000 0.0000 [2 per cell]
Cu1 0.0000 0.0000 0.5000 [1 per cell]
H1 0.0000 0.0000 0.0000 [1 per cell]
Au1 0.5000 0.5000 0.5000 [1 per cell]


# 8
TbCo3Sn3: optimized geometry, GGA-PBE.

Results
Energy relative to the elements in eV per atom: 0.38

Cell: 6.8556 6.8556 6.8556 Å, 90.00 90.00 90.00°
Space group Pm-3n (No. 223)
Asymmetric unit:
Tb1 0.0000 0.0000 0.0000 [2 per cell]
Co1 0.0000 0.2500 0.5000 [6 per cell]
Sn1 0.0000 0.5000 0.2500 [6 per cell]


# 9
ZrZnTcPt: optimized geometry, GGA-PBE.

Results
Energy relative to the elements in eV per atom: -0.39

Cell: 6.4006 6.4006 6.4006 Å, 90.00 90.00 90.00°
Space group F-43m (No. 216)
Asymmetric unit:
Zr1 0.0000 0.0000 0.0000 [4 per cell]
Zn1 0.0000 0.0000 0.5000 [4 per cell]
Tc1 0.2500 0.2500 0.2500 [4 per cell]
Pt1 0.2500 0.2500 0.7500 [4 per cell]


# 10
SrSb2Cl: optimized geometry, GGA-PBE.

Results
ΔE to the lowest computed polymorph in meV per atom: 409
Formation energy (no corrections) in eV/atom: -0.628

Cell: 3.5200 5.6880 5.9852 Å, 90.00 90.00 90.00°
Space group Pmmm (No. 47)
Asymmetric unit:
Sr1 0.0000 0.0000 0.0000 [1 per cell]
Sb1 0.5000 0.5000 0.2414 [2 per cell]
Cl1 0.0000 0.0000 0.5000 [1 per cell]


# 11
Zn2Ge2Sb: optimized geometry, GGA-PBE.

Results
ΔE to the lowest computed polymorph in meV per atom: 16
Formation energy (no corrections) in eV/atom: 0.228

Cell: 3.8053 3.8053 14.2118 Å, 90.00 90.00 90.00°
Space group I4/mmm (No. 139)
Asymmetric unit:
Zn1 0.0000 0.5000 0.2500 [4 per cell]
Ge1 0.0000 0.0000 0.1057 [4 per cell]
Sb1 0.0000 0.0000 0.5000 [2 per cell]


# 12
SrEuHgPt: optimized geometry, GGA-PBE.

Results
Energy relative to the elements in eV per atom: -0.64

Cell: 7.5564 7.5564 7.5564 Å, 90.00 90.00 90.00°
Space group F-43m (No. 216)
Asymmetric unit:
Sr1 0.0000 0.0000 0.0000 [4 per cell]
Eu1 0.0000 0.0000 0.5000 [4 per cell]
Hg1 0.2500 0.2500 0.7500 [4 per cell]
Pt1 0.2500 0.2500 0.2500 [4 per cell]